# Sm3PI7

A relaxed Sm3PI7 crystal (PBE, the Alexandria database).

The structure in extended XYZ format:
```
11
Lattice="-2.731 6.339 3.109 0.254 -3.857 8.088 7.110 4.546 -3.022" Properties=species:S:1:pos:R:3 pbc="T T T"
Sm 1.491 7.138 0.952
Sm 1.614 5.270 4.869
Sm 5.057 7.472 3.405
P 3.155 5.619 2.581
I 2.487 -0.936 4.443
I 5.903 3.199 -1.085
I -0.188 2.911 3.937
I 3.407 3.247 6.409
I 6.027 1.316 2.864
I -0.064 1.028 7.885
I 2.431 0.979 0.391
```

raw total energy	-3.980	eV/atom
ΔE_f (raw)	-1214	meV per atom